# 1
Entry from the Alexandria database: a relaxed BeTcPb2N crystal (PBE).

Energy: -0.1970 Ha/atom
Total moment: 0.000 μB per atom
E_form (uncorrected): 0.607 eV per atom
Symmetry: P4/mmm (123)
Crystal system: tetragonal

abc: 5.4762 2.9848 5.4762
angles: 90.00 90.00 90.00
Atoms (fractional coordinates):
Pb 0.0000 0.0000 0.5000
Pb 0.5000 0.0000 0.0000
Be 0.0000 0.0000 0.0000
Tc 0.5000 0.5000 0.5000
N 0.0000 0.5000 0.0000

---

# 2
Entry from the Alexandria database: a relaxed BeTe2PbN crystal (PBE).

Energy: -0.1044 Ha/atom
Total moment: 0.000 μB per atom
E_form (uncorrected): 1.568 eV per atom
Symmetry: P4/mmm (123)
Crystal system: tetragonal

abc: 5.8393 5.8393 4.2750
angles: 90.00 90.00 90.00
Atoms (fractional coordinates):
Pb 0.0000 0.0000 0.0000
Be 0.5000 0.5000 0.5000
Te 0.0000 0.5000 0.0000
Te 0.5000 0.0000 0.0000
N 0.0000 0.0000 0.5000

---

# 3
Entry from the Alexandria database: a relaxed BeTe2PbN crystal (PBE).

Energy: -0.1534 Ha/atom
Total moment: 0.000 μB per atom
E_form (uncorrected): 0.236 eV per atom
Symmetry: P4/mmm (123)
Crystal system: tetragonal

abc: 5.9603 5.9603 3.1654
angles: 90.00 90.00 90.00
Atoms (fractional coordinates):
Pb 0.5000 0.5000 0.5000
Be 0.0000 0.0000 0.0000
Te 0.0000 0.5000 0.0000
Te 0.5000 0.0000 0.0000
N 0.0000 0.0000 0.5000

---

# 4
Entry from the Alexandria database: a relaxed TiBe2PbN crystal (PBE).

Energy: -0.1717 Ha/atom
Total moment: 0.000 μB per atom
E_form (uncorrected): 0.804 eV per atom
Symmetry: P4/mmm (123)
Crystal system: tetragonal

abc: 4.7611 3.8631 4.7611
angles: 90.00 90.00 90.00
Atoms (fractional coordinates):
Pb 0.5000 0.5000 0.5000
Be 0.0000 0.0000 0.5000
Be 0.5000 0.0000 0.0000
N 0.0000 0.5000 0.0000
Ti 0.0000 0.0000 0.0000

---

# 5
Entry from the Alexandria database: a relaxed BePd4N2 crystal (PBE).

Energy: -0.1936 Ha/atom
Total moment: 0.000 μB per atom
E_form (uncorrected): 0.611 eV per atom
Symmetry: I4/mmm (139)
Crystal system: tetragonal

abc: 4.6215 4.6215 5.8115
angles: 66.57 66.57 90.00
Atoms (fractional coordinates):
Be 0.0000 0.0000 0.0000
Pd 0.7779 0.7779 0.4442
Pd 0.2221 0.2221 0.5558
Pd 0.0000 0.5000 0.0000
Pd 0.5000 0.0000 0.0000
N 0.5628 0.5628 0.8745
N 0.4372 0.4372 0.1255

---

# 6
Entry from the Alexandria database: a relaxed Be2PdN crystal (PBE).

Energy: -0.2070 Ha/atom
Total moment: 0.000 μB per atom
E_form (uncorrected): -0.389 eV per atom
Symmetry: I-42d (122)
Crystal system: tetragonal

abc: 4.9264 4.9264 4.9731
angles: 60.31 60.31 90.00
Atoms (fractional coordinates):
Be 0.4884 0.1250 0.2500
Be 0.2616 0.6250 0.2500
Be 0.3750 0.5116 0.7500
Be 0.8750 0.7384 0.7500
Pd 0.0000 0.0000 0.0000
Pd 0.7500 0.2500 0.5000
N 0.5000 0.5000 0.0000
N 0.2500 0.7500 0.5000

---

# 7
Entry from the Alexandria database: a relaxed PmBePdN crystal (PBE).

Energy: -0.2401 Ha/atom
Total moment: 0.000 μB per atom
E_form (uncorrected): -1.034 eV per atom
Symmetry: P4/nmm (129)
Crystal system: tetragonal

abc: 3.7940 3.7940 8.1263
angles: 90.00 90.00 90.00
Atoms (fractional coordinates):
Pm 0.0000 0.5000 0.8447
Pm 0.5000 0.0000 0.1553
Be 0.0000 0.5000 0.3336
Be 0.5000 0.0000 0.6664
Pd 0.0000 0.0000 0.5000
Pd 0.5000 0.5000 0.5000
N 0.5000 0.0000 0.8641
N 0.0000 0.5000 0.1359

---

# 8
Entry from the Alexandria database: a relaxed BePdS2N crystal (PBE).

Energy: -0.1659 Ha/atom
Total moment: 0.001 μB per atom
E_form (uncorrected): 0.585 eV per atom
Symmetry: P4/mmm (123)
Crystal system: tetragonal

abc: 4.6750 4.6750 3.0470
angles: 90.00 90.00 90.00
Atoms (fractional coordinates):
Be 0.0000 0.0000 0.0000
S 0.0000 0.5000 0.0000
S 0.5000 0.0000 0.0000
Pd 0.5000 0.5000 0.5000
N 0.0000 0.0000 0.5000